Sr2Br | PBE-GGA | relaxed

Lattice parameters (Å, degrees): 8.0665 8.0665 8.0665 90.00 90.00 90.00
Last column: nearest neighbours and their distance in Å.
Fractional positions:
Sr (0.1476, 0.1476, 0.1476)  3 Br 3.30
Sr (0.1476, 0.3524, 0.6476)  3 Br 3.30
Sr (0.3524, 0.6476, 0.1476)  3 Br 3.30
Sr (0.3524, 0.8524, 0.6476)  3 Br 3.30
Sr (0.6476, 0.1476, 0.3524)  3 Br 3.30
Sr (0.6476, 0.3524, 0.8524)  3 Br 3.30
Sr (0.8524, 0.6476, 0.3524)  3 Br 3.30
Sr (0.8524, 0.8524, 0.8524)  3 Br 3.30
Br (0.0000, 0.0000, 0.5000)  6 Sr 3.30
Br (0.0000, 0.5000, 0.0000)  6 Sr 3.30
Br (0.5000, 0.0000, 0.0000)  6 Sr 3.30
Br (0.5000, 0.5000, 0.5000)  6 Sr 3.30

Its energy above the lowest structure with this stoichiometry is 184 meV/atom. Its energy relative to the elements, uncorrected is -777 meV per atom.



LiAsBr2O | PBE-GGA | relaxed

Lattice parameters (Å, degrees): 5.9140 5.9140 3.6938 90.00 90.00 90.00
Last column: nearest neighbours and their distance in Å.
Fractional positions:
Li (0.0000, 0.0000, 0.0000)  8 Br 3.49, 2 Li 3.69
As (0.5000, 0.5000, 0.0000)  2 O 1.85
Br (0.0000, 0.5000, 0.5000)  2 O 2.96
Br (0.5000, 0.0000, 0.5000)  2 O 2.96
O (0.5000, 0.5000, 0.5000)  2 As 1.85

Its energy above the lowest structure with this stoichiometry is 0 meV/atom. Its energy relative to the elements, uncorrected is -219 meV per atom.



La6Tb4Sc | PBE-GGA | relaxed

Lattice parameters (Å, degrees): 5.7056 5.7056 26.1790 90.00 90.00 117.71
Last column: nearest neighbours and their distance in Å.
Fractional positions:
La (0.0000, 0.0000, 0.0000)  8 Tb 3.29-3.60
La (0.0000, 0.0000, 0.5000)  8 Tb 3.29-3.60
La (0.0487, 0.9513, 0.7500)  2 Tb 3.28, 3 Sc 3.32-3.34, 2 La 3.63
La (0.3003, 0.6997, 0.1030)  6 Tb 3.37-3.75
La (0.3003, 0.6997, 0.3970)  6 Tb 3.37-3.75
La (0.3758, 0.6242, 0.6838)  5 La 3.47-3.82, 4 Tb 3.60-3.71, 3 Sc 3.69-3.79
La (0.3758, 0.6242, 0.8162)  5 La 3.47-3.82, 4 Tb 3.60-3.71, 3 Sc 3.69-3.79
La (0.6242, 0.3758, 0.1838)  5 La 3.47-3.82, 4 Tb 3.60-3.71, 3 Sc 3.69-3.79
La (0.6242, 0.3758, 0.3162)  5 La 3.47-3.82, 4 Tb 3.60-3.71, 3 Sc 3.69-3.79
La (0.6997, 0.3003, 0.6030)  6 Tb 3.37-3.75
La (0.6997, 0.3003, 0.8970)  6 Tb 3.37-3.75
La (0.9513, 0.0487, 0.2500)  2 Tb 3.28, 3 Sc 3.32-3.34, 2 La 3.63
Tb (0.0427, 0.9573, 0.6246)  6 La 3.28-3.60, 1 Tb 3.63
Tb (0.0427, 0.9573, 0.8754)  6 La 3.28-3.60, 1 Tb 3.63
Tb (0.3480, 0.6520, 0.5452)  8 La 3.51-3.91, 2 Tb 3.63-3.80
Tb (0.3480, 0.6520, 0.9548)  8 La 3.51-3.91, 2 Tb 3.63-3.80
Tb (0.6520, 0.3480, 0.0452)  8 La 3.51-3.91, 2 Tb 3.63-3.80
Tb (0.6520, 0.3480, 0.4548)  8 La 3.51-3.91, 2 Tb 3.63-3.80
Tb (0.9573, 0.0427, 0.1246)  6 La 3.28-3.60, 1 Tb 3.63
Tb (0.9573, 0.0427, 0.3754)  6 La 3.28-3.60, 1 Tb 3.63
Sc (0.2909, 0.7091, 0.2500)  5 La 3.32-3.69
Sc (0.7091, 0.2909, 0.7500)  5 La 3.32-3.69

Its energy of formation from the pure elements is 0.1214 eV per atom.



DyPbAu4 | PBE-GGA | relaxed

Lattice parameters (Å, degrees): 5.6728 5.6728 5.6728 60.00 60.00 60.00
Last column: nearest neighbours and their distance in Å.
Fractional positions:
Dy (0.0000, 0.0000, 0.0000)  12 Au 3.33, 4 Pb 3.47
Pb (0.7500, 0.7500, 0.7500)  12 Au 3.33, 4 Dy 3.47
Au (0.3747, 0.3747, 0.3747)  6 Au 2.83-2.84
Au (0.3747, 0.3747, 0.8758)  6 Au 2.83-2.84
Au (0.3747, 0.8758, 0.3747)  6 Au 2.83-2.84
Au (0.8758, 0.3747, 0.3747)  6 Au 2.83-2.84

Its energy of formation from the pure elements is -0.3722 eV per atom.



| no. | mass density (g/cm³) |
| --- | --- |
| 1 | 3.229 |
| 2 | 3.312 |
| 3 | 6.665 |
| 4 | 14.890 |